DFT (PBE-GGA) results for crystalline Cd2GeB at its relaxed geometry.

Geometry as extended XYZ:
```
8
Lattice="4.465 0.000 0.000 0.000 4.465 0.000 2.232 2.232 7.969" Properties=species:S:1:pos:R:3 pbc="T T T"
Ge 0.000 0.000 0.000
Ge 4.465 2.232 3.984
B 2.232 2.232 0.000
B 2.232 4.465 3.984
Cd 3.095 1.116 1.992
Cd 1.370 3.349 1.992
Cd 3.349 3.603 5.976
Cd 5.581 5.327 5.976
```

## Properties
Relative energy among the computed polymorphs = 0.000 eV per atom
Energy of formation = 0.860 eV/atom